Here is a geometry-optimized Gd3Mg3AlPt2 structure from OQMD. Energies are from PBE.

Computed properties:
The mass density is 7.908 Mg/m³. As for the final energy: -4.519 eV/atom. Its symmetry is P-62m. The calculation puts the total magnetic moment at 0.0 μB/f.u.

POSCAR file:
```
Gd3Mg3AlPt2
1.0
7.467 0.000 0.000
-3.734 6.467 0.000
0.000 0.000 4.182
Pt Gd Al Mg
2 3 1 3
direct
0.667 0.333 0.500
0.333 0.667 0.500
0.422 0.422 0.000
0.000 0.578 0.000
0.578 0.000 0.000
0.000 0.000 0.000
0.000 0.251 0.500
0.251 0.000 0.500
0.749 0.749 0.500
```